## Tb2TeS (GGA-PBE)

Data for a relaxed structure of Tb2TeS.

Cell: 7.529 7.529 7.529 Å, 31.08 31.08 31.08°
Fractional coordinates of all 4 atoms:
Tb1 0.000 0.000 0.000
Tb2 0.195 0.195 0.195
Te1 0.430 0.430 0.430
S1 0.599 0.599 0.599

- Magnetic moment: 0.0 μB/f.u.
- Total DFT energy (no corrections): -5.836 eV/atom
- Energy above the lowest structure with this stoichiometry: 0 meV per atom

***

## Tb2TeS2 (GGA-PBE)

Data for a relaxed structure of Tb2TeS2.

Cell: 7.628 7.628 7.628 Å, 147.91 138.70 53.24°
Fractional coordinates of all 5 atoms:
Tb1 0.166 0.166 0.000
Tb2 0.834 0.834 0.000
Te1 0.000 0.500 0.500
S1 0.295 0.795 0.500
S2 0.705 0.205 0.500

- Magnetic moment: 0.0 μB/f.u.
- Total DFT energy (no corrections): -5.999 eV/atom
- Energy above the lowest structure with this stoichiometry: 0 meV per atom

***

## Tb2TeS (GGA-PBE)

Data for a relaxed structure of Tb2TeS.

Cell: 7.343 7.343 7.343 Å, 32.46 32.46 32.46°
Fractional coordinates of all 4 atoms:
Tb1 0.234 0.234 0.234
Tb2 0.766 0.766 0.766
Te1 0.000 0.000 0.000
S1 0.500 0.500 0.500

- Magnetic moment: 0.0 μB/f.u.
- Total DFT energy (no corrections): -5.814 eV/atom
- Energy above the lowest structure with this stoichiometry: 22 meV per atom

***

## Tb4TeS3 (GGA-PBE)

Data for a relaxed structure of Tb4TeS3.

Cell: 3.993 3.993 26.966 Å, 90.00 90.00 120.00°
Fractional coordinates of all 16 atoms:
Tb1 0.000 0.000 0.172
Tb2 0.000 0.000 0.328
Tb3 0.000 0.000 0.672
Tb4 0.000 0.000 0.828
Tb5 0.333 0.667 0.061
Tb6 0.333 0.667 0.439
Tb7 0.667 0.333 0.561
Tb8 0.667 0.333 0.939
Te1 0.333 0.667 0.250
Te2 0.667 0.333 0.750
S1 0.000 0.000 0.000
S2 0.000 0.000 0.500
S3 0.333 0.667 0.617
S4 0.333 0.667 0.883
S5 0.667 0.333 0.117
S6 0.667 0.333 0.383

- Magnetic moment: 0.0 μB/f.u.
- Total DFT energy (no corrections): -6.110 eV/atom

***

## Tb2TeS (GGA-PBE)

Data for a relaxed structure of Tb2TeS.

Cell: 5.772 6.283 11.532 Å, 90.00 90.00 90.00°
Fractional coordinates of all 16 atoms:
Tb1 0.000 0.189 0.136
Tb2 0.000 0.197 0.608
Tb3 0.000 0.803 0.392
Tb4 0.000 0.811 0.864
Tb5 0.500 0.189 0.364
Tb6 0.500 0.197 0.892
Tb7 0.500 0.803 0.108
Tb8 0.500 0.811 0.636
Te1 0.000 0.307 0.872
Te2 0.000 0.693 0.128
Te3 0.500 0.307 0.628
Te4 0.500 0.693 0.372
S1 0.000 0.243 0.372
S2 0.000 0.757 0.628
S3 0.500 0.243 0.128
S4 0.500 0.757 0.872

- Magnetic moment: 0.0 μB/f.u.
- Total DFT energy (no corrections): -5.700 eV/atom
- Energy above the lowest structure with this stoichiometry: 136 meV per atom

***

## Tb4Te3S4 (GGA-PBE)

Data for a relaxed structure of Tb4Te3S4.

Cell: 9.150 9.150 9.150 Å, 154.03 124.99 61.81°
Fractional coordinates of all 11 atoms:
Tb1 0.232 0.232 0.000
Tb2 0.275 0.500 0.775
Tb3 0.725 0.500 0.225
Tb4 0.768 0.768 0.000
Te1 0.000 0.000 0.000
Te2 0.394 0.894 0.500
Te3 0.606 0.106 0.500
S1 0.025 0.330 0.695
S2 0.365 0.670 0.695
S3 0.635 0.330 0.305
S4 0.975 0.670 0.305

- Magnetic moment: 0.0 μB/f.u.
- Total DFT energy (no corrections): -5.519 eV/atom

***

## TbTeS4 (GGA-PBE)

Data for a relaxed structure of TbTeS4.

Cell: 3.867 6.448 6.829 Å, 102.76 90.01 107.37°
Fractional coordinates of all 6 atoms:
Tb1 0.000 0.000 0.000
Te1 0.500 0.000 0.500
S1 0.124 0.248 0.399
S2 0.379 0.758 0.139
S3 0.621 0.242 0.861
S4 0.876 0.752 0.601

- Magnetic moment: 0.0 μB/f.u.
- Total DFT energy (no corrections): -4.697 eV/atom

***

## Tb3Te2S (GGA-PBE)

Data for a relaxed structure of Tb3Te2S.

Cell: 7.372 7.372 7.172 Å, 99.84 99.84 118.85°
Fractional coordinates of all 12 atoms:
Tb1 0.000 0.500 0.000
Tb2 0.125 0.265 0.484
Tb3 0.265 0.125 0.984
Tb4 0.500 0.000 0.500
Tb5 0.735 0.875 0.016
Tb6 0.875 0.735 0.516
Te1 0.268 0.732 0.750
Te2 0.424 0.576 0.250
Te3 0.576 0.424 0.750
Te4 0.732 0.268 0.250
S1 0.096 0.904 0.250
S2 0.904 0.096 0.750

- Magnetic moment: 0.0 μB/f.u.
- Total DFT energy (no corrections): -5.567 eV/atom
- Energy above the lowest structure with this stoichiometry: 28 meV per atom